1.
DFT (PBE) results for a relaxed structure of MnZn2Te.

Cell lengths 3.784, 3.780, 5.348 Å; angles 90.00, 90.52, 90.00 degrees
Fractional coordinates of all 4 atoms:
Mn: 0.000 0.000 0.000
Zn: 0.495 0.000 0.657
Zn: 0.996 0.500 0.657
Te: 0.502 0.500 0.211

Output
density	6802	kg/m³
SG	No. 6

---

2.
DFT (PBE) results for a relaxed structure of MnZnTe4.

Cell lengths 6.366, 6.366, 6.366 Å; angles 60.00, 60.00, 60.00 degrees
Fractional coordinates of all 6 atoms:
Mn: 0.000 0.000 0.000
Zn: 0.250 0.250 0.250
Te: 0.124 0.625 0.625
Te: 0.625 0.124 0.625
Te: 0.625 0.625 0.124
Te: 0.625 0.625 0.625

Output
density	5742	kg/m³
SG	No. 216
energy relative to the lowest polymorph listed for this composition	0.776	eV/atom

---

3.
DFT (PBE) results for a relaxed structure of MnZnTe2.

Cell lengths 8.446, 8.446, 8.446 Å; angles 25.90, 25.90, 25.90 degrees
Fractional coordinates of all 4 atoms:
Mn: 0.000 0.000 0.000
Zn: 0.500 0.500 0.500
Te: 0.390 0.390 0.390
Te: 0.610 0.610 0.610

Output
density	6157	kg/m³
SG	No. 166

---

4.
DFT (PBE) results for a relaxed structure of Mn2ZnTe.

Cell lengths 5.427, 5.427, 5.427 Å; angles 46.05, 46.05, 46.05 degrees
Fractional coordinates of all 4 atoms:
Mn: 0.225 0.225 0.225
Mn: 0.775 0.775 0.775
Zn: 0.500 0.500 0.500
Te: 0.000 0.000 0.000

Output
density	6656	kg/m³
SG	No. 166
energy relative to the lowest polymorph listed for this composition	0.053	eV/atom

---

no.,E_form (uncorrected) (meV per atom)
1,100.7
2,638.1
3,200.7
4,243.8